LiMnPt2: optimized geometry, PBEsol.

Cell: 6.119 6.119 6.119 Å, 90.00 90.00 90.00°
Atoms (fractional coordinates):
1 Li 0.000 0.000 0.000
2 Li 0.000 0.500 0.500
3 Li 0.500 0.000 0.500
4 Li 0.500 0.500 0.000
5 Mn 0.250 0.250 0.750
6 Mn 0.250 0.750 0.250
7 Mn 0.750 0.250 0.250
8 Mn 0.750 0.750 0.750
9 Pt 0.000 0.000 0.500
10 Pt 0.000 0.500 0.000
11 Pt 0.250 0.250 0.250
12 Pt 0.250 0.750 0.750
13 Pt 0.500 0.000 0.000
14 Pt 0.500 0.500 0.500
15 Pt 0.750 0.250 0.750
16 Pt 0.750 0.750 0.250

Density of states at the Fermi level = 0.4602 states/eV/atom
Formation enthalpy at 0 K = -16 kJ/mol of atoms
Space-group type = F-43m (216)